# 1
The following is a PBE calculation of Co2Ge3W2 after structural relaxation, from the Open Quantum Materials Database.

Unit cell a=4.1669 b=4.1669 c=21.1543 alpha=90.00 beta=90.00 gamma=120.00
Last column: nearest neighbours and their distance in Å.
Space group R3m (No. 160, hexagonal axes)
One atom of each set of equivalent atoms:
1 Co 0.0000 0.0000 0.0000  5 Ge 2.46-2.51
2 Co 0.0000 0.0000 0.4794  4 Ge 2.47-2.59
3 Ge 0.0000 0.0000 0.1186  4 Co 2.47-2.51, 4 W 2.59-2.63
4 Ge 0.0000 0.0000 0.3569  4 W 2.46-2.58, 4 Co 2.46-2.59
5 Ge 0.0000 0.0000 0.8812  3 W 2.47, 1 Co 2.51
6 W 0.0000 0.0000 0.2408  5 Ge 2.46-2.59
7 W 0.0000 0.0000 0.7349  6 Ge 2.58-2.63, 3 Co 2.81

- raw total energy (eV/atom) = -7.249

---

# 2
The following is a PBE calculation of ZnCoGeW after structural relaxation, from the Open Quantum Materials Database.

Unit cell a=6.0528 b=6.0528 c=6.0528 alpha=90.00 beta=90.00 gamma=90.00
Last column: nearest neighbours and their distance in Å.
Space group F-43m (No. 216)
One atom of each set of equivalent atoms:
1 Zn 0.0000 0.0000 0.0000  4 W 2.62, 4 Co 2.62
2 Co 0.2500 0.2500 0.7500  4 Ge 2.62, 4 Zn 2.62
3 Ge 0.0000 0.0000 0.5000  4 Co 2.62, 4 W 2.62
4 W 0.2500 0.2500 0.2500  4 Ge 2.62, 4 Zn 2.62

- energy above the lowest structure with this stoichiometry (meV/atom) = 0

---

# 3
The following is a PBE calculation of ZnCoGeW after structural relaxation, from the Open Quantum Materials Database.

Unit cell a=6.0797 b=6.0797 c=6.0797 alpha=90.00 beta=90.00 gamma=90.00
Last column: nearest neighbours and their distance in Å.
Space group F-43m (No. 216)
One atom of each set of equivalent atoms:
1 Zn 0.0000 0.0000 0.0000  4 Ge 2.63, 4 W 2.63
2 Co 0.0000 0.0000 0.5000  4 Ge 2.63, 4 W 2.63
3 Ge 0.2500 0.2500 0.2500  4 Co 2.63, 4 Zn 2.63
4 W 0.2500 0.2500 0.7500  4 Co 2.63, 4 Zn 2.63

- energy above the lowest structure with this stoichiometry (meV/atom) = 161

---

# 4
The following is a PBE calculation of Y2Co2Ge after structural relaxation, from the Open Quantum Materials Database.

Unit cell a=3.4488 b=3.4488 c=15.9844 alpha=90.00 beta=90.00 gamma=90.00
Last column: nearest neighbours and their distance in Å.
Space group I4/mmm (No. 139)
One atom of each set of equivalent atoms:
1 Y 0.0000 0.0000 0.1142  4 Co 2.77, 4 Ge 3.05
2 Co 0.0000 0.5000 0.2500  4 Co 2.44
3 Ge 0.0000 0.0000 0.5000  8 Y 3.05

- raw total energy (eV/atom) = -6.505

---

# 5
The following is a PBE calculation of Y3Co4Ge13 after structural relaxation, from the Open Quantum Materials Database.

Unit cell a=8.7891 b=8.7891 c=8.7891 alpha=90.00 beta=90.00 gamma=90.00
Last column: nearest neighbours and their distance in Å.
Space group Pm-3n (No. 223)
One atom of each set of equivalent atoms:
1 Y 0.0000 0.2500 0.5000  12 Ge 3.09-3.10, 4 Co 3.11
2 Co 0.2500 0.2500 0.2500  6 Ge 2.40
3 Ge 0.0000 0.0000 0.0000  12 Ge 2.99
4 Ge 0.0000 0.3036 0.1526  2 Co 2.40, 1 Ge 2.68

- raw total energy (eV/atom) = -5.805

---

# 6
The following is a PBE calculation of YCoGe after structural relaxation, from the Open Quantum Materials Database.

Unit cell a=6.8986 b=4.2319 c=7.2622 alpha=90.00 beta=90.00 gamma=90.00
Last column: nearest neighbours and their distance in Å.
Space group Pnma (No. 62)
One atom of each set of equivalent atoms:
1 Y 0.0078 0.2500 0.1980  4 Co 2.90-3.02, 6 Ge 2.96-3.21
2 Co 0.1538 0.7500 0.4332  4 Ge 2.46-2.62
3 Ge 0.2023 0.2500 0.5996  4 Co 2.46-2.62

- raw total energy (eV/atom) = -6.728

---

# 7
The following is a PBE calculation of Y2CoGe after structural relaxation, from the Open Quantum Materials Database.

Unit cell a=3.9823 b=4.0816 c=10.6169 alpha=90.00 beta=90.00 gamma=90.00
Last column: nearest neighbours and their distance in Å.
Space group Amm2 (No. 38)
One atom of each set of equivalent atoms:
1 Y 0.0000 0.0000 0.0000  4 Ge 2.97, 3 Co 2.99-3.09
2 Y 0.5000 0.0000 0.2825  4 Co 2.93, 3 Ge 2.98-3.13
3 Co 0.0000 0.0000 0.7180  2 Ge 2.49
4 Ge 0.5000 0.0000 0.5774  2 Co 2.49

- raw total energy (eV/atom) = -6.710

---

# 8
The following is a PBE calculation of YCoGe after structural relaxation, from the Open Quantum Materials Database.

Unit cell a=6.1498 b=6.1498 c=6.1498 alpha=90.00 beta=90.00 gamma=90.00
Last column: nearest neighbours and their distance in Å.
Space group F-43m (No. 216)
One atom of each set of equivalent atoms:
1 Y 0.0000 0.0000 0.0000  4 Co 2.66
2 Co 0.2500 0.2500 0.7500  4 Ge 2.66, 4 Y 2.66
3 Ge 0.0000 0.0000 0.5000  4 Co 2.66

- raw total energy (eV/atom) = -6.395

---

# 9
The following is a PBE calculation of Y2CoGe after structural relaxation, from the Open Quantum Materials Database.

Unit cell a=6.7730 b=6.7730 c=6.7730 alpha=90.00 beta=90.00 gamma=90.00
Last column: nearest neighbours and their distance in Å.
Space group F-43m (No. 216)
One atom of each set of equivalent atoms:
1 Y 0.0000 0.0000 0.0000  4 Co 2.93, 4 Y 2.93
2 Y 0.2500 0.2500 0.2500  4 Ge 2.93, 4 Y 2.93
3 Co 0.2500 0.2500 0.7500  4 Ge 2.93, 4 Y 2.93
4 Ge 0.0000 0.0000 0.5000  4 Co 2.93, 4 Y 2.93

- raw total energy (eV/atom) = -6.140

---

# 10
The following is a PBE calculation of YCo2Ge2 after structural relaxation, from the Open Quantum Materials Database.

Unit cell a=3.9656 b=3.9656 c=10.1082 alpha=90.00 beta=90.00 gamma=90.00
Last column: nearest neighbours and their distance in Å.
Space group I4/mmm (No. 139)
One atom of each set of equivalent atoms:
1 Y 0.0000 0.0000 0.0000  8 Ge 3.09, 8 Co 3.21
2 Co 0.0000 0.5000 0.2500  4 Ge 2.33
3 Ge 0.0000 0.0000 0.3720  4 Co 2.33, 1 Ge 2.59

- raw total energy (eV/atom) = -6.599

---

# 11
The following is a PBE calculation of YCo2Ge after structural relaxation, from the Open Quantum Materials Database.

Unit cell a=6.3756 b=6.3756 c=6.3756 alpha=90.00 beta=90.00 gamma=90.00
Last column: nearest neighbours and their distance in Å.
Space group F-43m (No. 216)
One atom of each set of equivalent atoms:
1 Y 0.0000 0.0000 0.0000  4 Ge 2.76, 4 Co 2.76
2 Co 0.0000 0.0000 0.5000  4 Co 2.76, 4 Ge 2.76
3 Co 0.2500 0.2500 0.2500  4 Co 2.76, 4 Y 2.76
4 Ge 0.2500 0.2500 0.7500  4 Co 2.76, 4 Y 2.76

- raw total energy (eV/atom) = -6.281

---

# 12
The following is a PBE calculation of Y3Co2Ge4 after structural relaxation, from the Open Quantum Materials Database.

Unit cell a=10.6454 b=4.1581 c=8.0269 alpha=90.00 beta=107.81 gamma=90.00
Last column: nearest neighbours and their distance in Å.
Space group C2/m (No. 12)
One atom of each set of equivalent atoms:
1 Y 0.0000 0.0000 0.0000  6 Ge 2.97-3.06
2 Y 0.1234 0.5000 0.6930  4 Co 2.89-3.23, 7 Ge 2.96-3.09
3 Co 0.1910 0.5000 0.3711  4 Ge 2.34-2.43
4 Ge 0.0980 0.0000 0.4001  3 Co 2.34-2.43
5 Ge 0.2094 0.5000 0.0808  1 Co 2.40

- raw total energy (eV/atom) = -6.515

---

# 13
The following is a PBE calculation of YZnCoGe after structural relaxation, from the Open Quantum Materials Database.

Unit cell a=6.4092 b=6.4092 c=6.4092 alpha=90.00 beta=90.00 gamma=90.00
Last column: nearest neighbours and their distance in Å.
Space group F-43m (No. 216)
One atom of each set of equivalent atoms:
1 Y 0.0000 0.0000 0.0000  4 Zn 2.78, 4 Co 2.78
2 Zn 0.2500 0.2500 0.2500  4 Ge 2.78, 4 Y 2.78
3 Co 0.2500 0.2500 0.7500  4 Y 2.78, 4 Ge 2.78
4 Ge 0.0000 0.0000 0.5000  4 Co 2.78, 4 Zn 2.78

- energy above the lowest structure with this stoichiometry (meV/atom) = 60

---

# 14
The following is a PBE calculation of YZnCoGe after structural relaxation, from the Open Quantum Materials Database.

Unit cell a=6.4391 b=6.4391 c=6.4391 alpha=90.00 beta=90.00 gamma=90.00
Last column: nearest neighbours and their distance in Å.
Space group F-43m (No. 216)
One atom of each set of equivalent atoms:
1 Y 0.0000 0.0000 0.0000  4 Zn 2.79, 4 Ge 2.79
2 Zn 0.2500 0.2500 0.7500  4 Co 2.79, 4 Y 2.79
3 Co 0.0000 0.0000 0.5000  4 Ge 2.79, 4 Zn 2.79
4 Ge 0.2500 0.2500 0.2500  4 Y 2.79, 4 Co 2.79

- energy above the lowest structure with this stoichiometry (meV/atom) = 0

---

# 15
The following is a PBE calculation of ZnCo2Ge after structural relaxation, from the Open Quantum Materials Database.

Unit cell a=4.0940 b=4.0940 c=7.1676 alpha=90.00 beta=90.00 gamma=120.00
Last column: nearest neighbours and their distance in Å.
Space group P6_3/mmc (No. 194)
One atom of each set of equivalent atoms:
1 Zn 0.0000 0.0000 0.0000  6 Co 2.45
2 Co 0.3333 0.6667 0.0877  1 Co 2.33, 1 Ge 2.42, 3 Zn 2.45
3 Ge 0.3333 0.6667 0.7500  8 Co 2.42-2.63

- energy above the lowest structure with this stoichiometry (meV/atom) = 124

---

# 16
The following is a PBE calculation of ZnCo2Ge after structural relaxation, from the Open Quantum Materials Database.

Unit cell a=4.1477 b=4.1477 c=7.2531 alpha=90.00 beta=90.00 gamma=120.00
Last column: nearest neighbours and their distance in Å.
Space group P6_3/mmc (No. 194)
One atom of each set of equivalent atoms:
1 Zn 0.3333 0.6667 0.2500  3 Ge 2.39, 8 Co 2.47-2.66
2 Co 0.3333 0.6667 0.5903  1 Co 2.32, 1 Zn 2.47
3 Ge 0.0000 0.0000 0.2500  3 Zn 2.39, 6 Co 2.66

- energy above the lowest structure with this stoichiometry (meV/atom) = 442

---

# 17
The following is a PBE calculation of ZnCoGe after structural relaxation, from the Open Quantum Materials Database.

Unit cell a=5.6595 b=5.6595 c=5.6595 alpha=90.00 beta=90.00 gamma=90.00
Last column: nearest neighbours and their distance in Å.
Space group F-43m (No. 216)
One atom of each set of equivalent atoms:
1 Zn 0.0000 0.0000 0.0000  4 Ge 2.45
2 Co 0.0000 0.0000 0.5000  4 Ge 2.45
3 Ge 0.2500 0.2500 0.7500  4 Co 2.45, 4 Zn 2.45

- raw total energy (eV/atom) = -4.162

---

# 18
The following is a PBE calculation of ZnCo2Ge after structural relaxation, from the Open Quantum Materials Database.

Unit cell a=5.7430 b=5.7430 c=5.7430 alpha=90.00 beta=90.00 gamma=90.00
Last column: nearest neighbours and their distance in Å.
Space group Fm-3m (No. 225)
One atom of each set of equivalent atoms:
1 Zn 0.0000 0.0000 0.0000  8 Co 2.49
2 Co 0.2500 0.2500 0.2500  4 Ge 2.49, 4 Zn 2.49
3 Ge 0.0000 0.0000 0.5000  8 Co 2.49

- energy above the lowest structure with this stoichiometry (meV/atom) = 0

---

# 19
The following is a PBE calculation of ZnCo2Ge after structural relaxation, from the Open Quantum Materials Database.

Unit cell a=5.8017 b=5.8017 c=5.8017 alpha=90.00 beta=90.00 gamma=90.00
Last column: nearest neighbours and their distance in Å.
Space group F-43m (No. 216)
One atom of each set of equivalent atoms:
1 Zn 0.0000 0.0000 0.0000  4 Ge 2.51, 4 Co 2.51
2 Co 0.0000 0.0000 0.5000  4 Ge 2.51, 4 Co 2.51
3 Co 0.2500 0.2500 0.7500  4 Co 2.51, 4 Zn 2.51
4 Ge 0.2500 0.2500 0.2500  4 Co 2.51, 4 Zn 2.51

- energy above the lowest structure with this stoichiometry (meV/atom) = 332

---

# 20
The following is a PBE calculation of ZnCo2Ge after structural relaxation, from the Open Quantum Materials Database.

Unit cell a=3.9928 b=3.9928 c=7.4989 alpha=90.00 beta=90.00 gamma=120.00
Last column: nearest neighbours and their distance in Å.
Space group P6_3/mmc (No. 194)
One atom of each set of equivalent atoms:
1 Zn 0.3333 0.6667 0.2500  8 Co 2.53-2.61
2 Co 0.3333 0.6667 0.5874  3 Ge 2.40, 4 Co 2.44-2.65, 4 Zn 2.53-2.61
3 Ge 0.0000 0.0000 0.0000  6 Co 2.40

- energy above the lowest structure with this stoichiometry (meV/atom) = 85